A plane-wave DFT calculation with PBE was carried out for crystalline CsMgGa2Pd at its relaxed geometry.

It has space group P4/mmm (No. 123), with a = 5.0239 Å, b = 5.0239 Å, c = 5.2492 Å, α = 90.00°, β = 90.00° and γ = 90.00°. Symmetry generates all atoms from Cs at (0.0000, 0.0000, 0.0000), Mg at (0.5000, 0.5000, 0.0000), Ga at (0.0000, 0.5000, 0.5000) and Pd at (0.5000, 0.5000, 0.5000).

The spin magnetization comes out at 0.0 Bohr magnetons per cell. Its total energy is -2.897 eV per atom. Its formation energy is -0.1583 eV/atom.



A plane-wave DFT calculation with PBE was carried out for crystalline Tb2CePr3Y6 at its relaxed geometry.

It has space group C2/m (No. 12), with a = 6.2606 Å, b = 10.8416 Å, c = 11.8808 Å, α = 90.00°, β = 100.10° and γ = 90.00°. Symmetry generates all atoms from Tb at (0.0000, 0.1667, 0.0000), Ce at (0.0000, 0.5000, 0.0000), Pr at (0.0000, 0.0000, 0.5000), Pr at (0.0000, 0.3324, 0.5000), Y at (0.2475, 0.3345, 0.2460) and Y at (0.2493, 0.5000, 0.7539).

The spin magnetization comes out at 2.4 Bohr magnetons per cell. Its total energy is -5.660 eV per atom. Its formation energy is 0.0329 eV/atom.



A plane-wave DFT calculation with PBE was carried out for crystalline CaMgSb4 at its relaxed geometry.

It has space group F-43m (No. 216), with a = 8.9315 Å, b = 8.9315 Å, c = 8.9315 Å, α = 90.00°, β = 90.00° and γ = 90.00°. Symmetry generates all atoms from Ca at (0.0000, 0.0000, 0.0000), Mg at (0.2500, 0.2500, 0.7500) and Sb at (0.1242, 0.1242, 0.3758).

The spin magnetization comes out at 0.0 Bohr magnetons per cell. Its total energy is -3.413 eV per atom. Its formation energy without anion corrections is -66 meV/atom.



Look up the spin magnetization of the second one.
2.4 Bohr magnetons per cell



Which value of spin magnetization does entry 1 give?
0.0 Bohr magnetons per cell